Compound: LiAlRe
Source: Alexandria
Functional: GGA-PBEsol
Structure: relaxed

Cell: 2.570 4.073 4.617 Å, 116.17 106.16 90.00°
Positions (direct):
Re: 0.337 0.337 0.674
Li: 0.665 0.665 0.330
Al: 0.998 0.998 0.996

Results
SG ... No. 44
Calculated formation energy ... 0.1195 eV/atom
Energy above the most stable polymorph in this dataset ... 0.000 eV per atom
Uncorrected energy ... -6.344 eV per atom
DOS at the Fermi energy ... 0.663 states/eV/atom